U5AsP4, optimized geometry, DFT PBE-GGA; space group = I4/m, No. 87; calculated formation energy = -0.91 eV per atom
1.0
-4.4282 4.4282 2.8035
4.4282 -4.4282 2.8035
4.4282 4.4282 -2.8035
U As P
5 1 4
Cartesian
0.0000 0.0000 0.0000
3.5294 1.7084 0.0000
2.7198 -0.8987 2.8035
1.7084 5.3269 0.0000
0.8987 2.7198 2.8035
0.0000 0.0000 2.8035
6.2126 0.9125 0.0000
0.9125 2.6437 0.0000
3.5157 1.7844 2.8035
-1.7844 3.5157 2.8035